Here is a relaxed structure of Rb2CoGeF6 from Alexandria. Energies are from GGA+U.

Geometry as extended XYZ:
```
10
Lattice="6.093 0.000 0.000 0.000 6.093 0.000 3.046 3.046 4.374" Properties=species:S:1:pos:R:3 pbc="T T T"
Rb 3.046 6.093 2.187
Rb 6.093 3.046 2.187
F 4.491 1.601 0.000
F 6.093 6.093 2.221
F 3.046 3.046 2.152
F 1.601 1.601 0.000
F 4.491 4.491 0.000
F 1.601 4.491 0.000
Co 3.046 3.046 0.000
Ge 0.000 0.000 0.000
```

Output
- Space-group type: I4/mmm, No. 139
- Energy: -4.669 eV per atom
- Magnetic moment: 3.00 μB/f.u.